one) Material: Ta2SiS
Method: DFT, PBE
State: relaxed

Cell lengths 4.440, 4.440, 4.440 Å; angles 60.00, 60.00, 60.00 degrees
Element x y z (fractional)
Ta 0.250 0.250 0.250
Ta 0.750 0.750 0.750
Si 0.000 0.000 0.000
S 0.500 0.500 0.500

Output
- Crystal system: cubic
- Volume: 61.9 Å³/cell
- M_tot: 0.00 μB/f.u.
- Fermi-level density of states: 0.17 states/eV/atom

two) Material: Ta2SiS
Method: DFT, PBE
State: relaxed

Cell lengths 7.132, 7.132, 7.132 Å; angles 135.66, 135.66, 64.50 degrees
Element x y z (fractional)
Ta 0.107 0.625 0.982
Ta 0.375 0.357 0.482
Ta 0.643 0.125 0.018
Ta 0.875 0.893 0.518
Si 0.250 0.750 0.500
Si 0.500 0.500 0.000
S 0.000 0.000 0.000
S 0.750 0.250 0.500

Output
- Crystal system: tetragonal
- Volume: 174.7 Å³/cell
- M_tot: 0.00 μB/f.u.
- Fermi-level density of states: 0.72 states/eV/atom

one) wins, 0.683 eV/atom ahead of the next structure.

one) Material: SiTcS3
Method: DFT, PBE
State: relaxed

Cell lengths 4.632, 4.632, 4.632 Å; angles 90.00, 90.00, 90.00 degrees
Element x y z (fractional)
Si 0.000 0.000 0.000
Tc 0.500 0.500 0.500
S 0.000 0.500 0.500
S 0.500 0.000 0.500
S 0.500 0.500 0.000

Output
- Crystal system: cubic
- Volume: 99.4 Å³/cell
- M_tot: 0.98 μB/f.u.
- Fermi-level density of states: 1.19 states/eV/atom

two) Material: SiTcS3
Method: DFT, PBE
State: relaxed

Cell lengths 4.366, 4.366, 4.366 Å; angles 90.00, 90.00, 90.00 degrees
Element x y z (fractional)
Si 0.000 0.000 0.000
Tc 0.500 0.500 0.500
S 0.000 0.000 0.500
S 0.000 0.500 0.000
S 0.500 0.000 0.000

Output
- Crystal system: cubic
- Volume: 83.2 Å³/cell
- M_tot: 0.00 μB/f.u.
- Fermi-level density of states: 0.73 states/eV/atom

one) wins, 0.270 eV/atom ahead of the next structure.

one) Material: Si3TcS
Method: DFT, PBE
State: relaxed

Cell lengths 4.388, 4.388, 4.388 Å; angles 90.00, 90.00, 90.00 degrees
Element x y z (fractional)
Si 0.000 0.000 0.500
Si 0.000 0.500 0.000
Si 0.500 0.000 0.000
Tc 0.500 0.500 0.500
S 0.000 0.000 0.000

Output
- Crystal system: cubic
- Volume: 84.5 Å³/cell
- M_tot: 1.87 μB/f.u.
- Fermi-level density of states: 0.67 states/eV/atom

two) Material: Si3TcS
Method: DFT, PBE
State: relaxed

Cell lengths 4.639, 4.639, 4.639 Å; angles 90.00, 90.00, 90.00 degrees
Element x y z (fractional)
Si 0.000 0.000 0.500
Si 0.000 0.500 0.000
Si 0.500 0.000 0.000
Tc 0.000 0.000 0.000
S 0.500 0.500 0.500

Output
- Crystal system: cubic
- Volume: 99.8 Å³/cell
- M_tot: 0.00 μB/f.u.
- Fermi-level density of states: 1.66 states/eV/atom

two) wins, 0.697 eV/atom ahead of the next structure.

one) Material: Si2TeS
Method: DFT, PBE
State: relaxed

Cell lengths 8.238, 8.238, 8.238 Å; angles 144.24, 144.24, 51.46 degrees
Element x y z (fractional)
Si 0.041 0.625 0.916
Si 0.375 0.291 0.416
Si 0.709 0.125 0.084
Si 0.875 0.959 0.584
Te 0.250 0.750 0.500
Te 0.500 0.500 0.000
S 0.000 0.000 0.000
S 0.750 0.250 0.500

Output
- Crystal system: tetragonal
- Volume: 189.9 Å³/cell
- M_tot: 0.00 μB/f.u.
- Fermi-level density of states: 0.37 states/eV/atom

two) Material: Si2TeS
Method: DFT, PBE
State: relaxed

Cell lengths 4.782, 4.782, 4.782 Å; angles 60.00, 60.00, 60.00 degrees
Element x y z (fractional)
Si 0.250 0.250 0.250
Si 0.750 0.750 0.750
Te 0.000 0.000 0.000
S 0.500 0.500 0.500

Output
- Crystal system: cubic
- Volume: 77.3 Å³/cell
- M_tot: 0.00 μB/f.u.
- Fermi-level density of states: 0.53 states/eV/atom

one) wins, 0.223 eV/atom ahead of the next structure.

one) Material: Ti2SiS
Method: DFT, PBE
State: relaxed

Cell lengths 6.468, 6.468, 6.468 Å; angles 31.06, 31.06, 31.06 degrees
Element x y z (fractional)
Ti 0.000 0.000 0.000
Ti 0.173 0.173 0.173
Si 0.588 0.588 0.588
S 0.419 0.419 0.419

Output
- Crystal system: trigonal
- Volume: 63.9 Å³/cell
- M_tot: 0.00 μB/f.u.
- Fermi-level density of states: 0.49 states/eV/atom

two) Material: Ti2SiS
Method: DFT, PBE
State: relaxed

Cell lengths 4.406, 4.406, 4.406 Å; angles 60.00, 60.00, 60.00 degrees
Element x y z (fractional)
Ti 0.250 0.250 0.250
Ti 0.750 0.750 0.750
Si 0.000 0.000 0.000
S 0.500 0.500 0.500

Output
- Crystal system: cubic
- Volume: 60.5 Å³/cell
- M_tot: 1.08 μB/f.u.
- Fermi-level density of states: 1.05 states/eV/atom

one) wins, 0.375 eV/atom ahead of the next structure.

one) Material: TlSiS4
Method: DFT, PBE
State: relaxed

Cell lengths 5.538, 6.883, 11.504 Å; angles 101.93, 90.80, 113.41 degrees
Element x y z (fractional)
Tl 0.197 0.150 0.351
Tl 0.803 0.850 0.649
Si 0.251 0.500 0.000
Si 0.749 0.500 0.000
S 0.001 0.322 0.583
S 0.125 0.754 0.990
S 0.312 0.626 0.460
S 0.457 0.421 0.854
S 0.543 0.579 0.146
S 0.688 0.374 0.540
S 0.875 0.246 0.010
S 0.999 0.678 0.417

Output
- Crystal system: triclinic
- Volume: 391.5 Å³/cell
- M_tot: 0.00 μB/f.u.

two) Material: TlSiS4
Method: DFT, PBE
State: relaxed

Cell lengths 6.375, 6.375, 6.375 Å; angles 127.57, 127.57, 77.33 degrees
Element x y z (fractional)
Tl 0.000 0.000 0.000
Si 0.750 0.250 0.500
S 0.116 0.563 0.948
S 0.437 0.385 0.552
S 0.615 0.168 0.052
S 0.832 0.884 0.448

Output
- Crystal system: tetragonal
- Volume: 157.9 Å³/cell
- M_tot: 1.00 μB/f.u.
- Fermi-level density of states: 0.90 states/eV/atom

one) wins, 0.189 eV/atom ahead of the next structure.

one) Material: TlSi2S
Method: DFT, PBE
State: relaxed

Cell lengths 4.793, 4.793, 4.793 Å; angles 60.00, 60.00, 60.00 degrees
Element x y z (fractional)
Tl 0.000 0.000 0.000
Si 0.250 0.250 0.250
Si 0.750 0.750 0.750
S 0.500 0.500 0.500

Output
- Crystal system: cubic
- Volume: 77.9 Å³/cell
- M_tot: 0.00 μB/f.u.
- Fermi-level density of states: 0.43 states/eV/atom

two) Material: TlSi2S
Method: DFT, PBE
State: relaxed

Cell lengths 7.464, 7.464, 7.464 Å; angles 135.48, 135.48, 64.79 degrees
Element x y z (fractional)
Tl 0.000 0.000 0.000
Tl 0.750 0.250 0.500
Si 0.168 0.625 0.043
Si 0.375 0.418 0.543
Si 0.582 0.125 0.957
Si 0.875 0.832 0.457
S 0.250 0.750 0.500
S 0.500 0.500 0.000

Output
- Crystal system: tetragonal
- Volume: 201.6 Å³/cell
- M_tot: 0.00 μB/f.u.
- Fermi-level density of states: 0.29 states/eV/atom

two) wins, 0.212 eV/atom ahead of the next structure.

one) Material: TlSiS3
Method: DFT, PBE
State: relaxed

Cell lengths 4.642, 4.642, 4.642 Å; angles 90.00, 90.00, 90.00 degrees
Element x y z (fractional)
Tl 0.000 0.000 0.000
Si 0.500 0.500 0.500
S 0.000 0.500 0.500
S 0.500 0.000 0.500
S 0.500 0.500 0.000

Output
- Crystal system: cubic
- Volume: 100.0 Å³/cell
- M_tot: 0.00 μB/f.u.
- Fermi-level density of states: 0.43 states/eV/atom

two) Material: TlSiS3
Method: DFT, PBE
State: relaxed

Cell lengths 6.567, 5.500, 7.794 Å; angles 90.00, 100.97, 90.00 degrees
Element x y z (fractional)
Tl 0.206 0.250 0.449
Tl 0.794 0.750 0.551
Si 0.456 0.750 0.099
Si 0.544 0.250 0.901
S 0.267 0.002 0.900
S 0.267 0.498 0.900
S 0.359 0.750 0.338
S 0.641 0.250 0.662
S 0.733 0.502 0.100
S 0.733 0.998 0.100

Output
- Crystal system: monoclinic
- Volume: 276.4 Å³/cell
- M_tot: 0.00 μB/f.u.
- Fermi-level density of states: 0.28 states/eV/atom

two) wins, 0.289 eV/atom ahead of the next structure.